Record 1
Density functional theory data (PBE-GGA) for a relaxed LiCrCl2 crystal.

a b c (Å): 5.3426 6.1391 6.5782
angles (deg): 112.08 112.17 90.51
Closest atoms and distances in Å follow each position.
Atoms (fractional coordinates):
Li  0.0000  0.0000  0.0000  4 Cl 2.33-2.47
Li  0.2655  0.3124  0.5982  4 Cl 2.35-2.48
Cr  0.7372  0.6238  0.3741  1 Cr 1.92
Cr  0.8783  0.5230  0.1310  1 Cr 1.92
Cl  0.0423  0.6241  0.7580  2 Li 2.33-2.38, 1 Cr 2.43
Cl  0.3189  0.3831  0.2718  2 Cr 2.39-2.47, 2 Li 2.46-2.47
Cl  0.6255  0.1571  0.8084  2 Li 2.35-2.36, 1 Cr 2.36
Cl  0.9104  0.9493  0.3159  2 Cr 2.41, 2 Li 2.42-2.48

Calculated values
volume: 182 Å³/cell
energy relative to the elements, uncorrected: -0.8041 eV per atom
total magnetization: 0.5000 μB per atom
symmetry: P1 (1)
electronic total energy: -4.612 eV per atom
energy relative to the lowest polymorph listed for this composition: 0.2263 eV per atom

---

Record 2
Density functional theory data (PBE-GGA) for a relaxed Pr7Ho12Mg crystal.

a b c (Å): 8.7678 8.7678 8.7678
angles (deg): 86.22 86.22 86.22
Closest atoms and distances in Å follow each position.
Atoms (fractional coordinates):
Pr  0.0000  0.0000  0.0000  6 Ho 3.26
Pr  0.1024  0.3477  0.4162  3 Pr 3.42-3.47, 7 Ho 3.51-3.82
Pr  0.3477  0.4162  0.1024  3 Pr 3.42-3.47, 7 Ho 3.51-3.82
Pr  0.4162  0.1024  0.3477  3 Pr 3.42-3.47, 7 Ho 3.51-3.82
Pr  0.5838  0.8976  0.6523  3 Pr 3.42-3.47, 7 Ho 3.51-3.82
Pr  0.6523  0.5838  0.8976  3 Pr 3.42-3.47, 7 Ho 3.51-3.82
Pr  0.8976  0.6523  0.5838  3 Pr 3.42-3.47, 7 Ho 3.51-3.82
Ho  0.9997  0.3615  0.8868  4 Ho 3.24-3.49, 2 Pr 3.26-3.51
Ho  0.0003  0.6385  0.1132  4 Ho 3.24-3.49, 2 Pr 3.26-3.51
Ho  0.1132  0.0003  0.6385  4 Ho 3.24-3.49, 2 Pr 3.26-3.51
Ho  0.2376  0.7462  0.3596  1 Mg 3.29, 6 Ho 3.32-3.67, 2 Pr 3.57-3.58
Ho  0.2538  0.6404  0.7624  1 Mg 3.29, 6 Ho 3.32-3.67, 2 Pr 3.57-3.58
Ho  0.3596  0.2376  0.7462  1 Mg 3.29, 6 Ho 3.32-3.67, 2 Pr 3.57-3.58
Ho  0.3615  0.8868  0.9997  4 Ho 3.24-3.49, 2 Pr 3.26-3.51
Ho  0.6385  0.1132  0.0003  4 Ho 3.24-3.49, 2 Pr 3.26-3.51
Ho  0.6404  0.7624  0.2538  1 Mg 3.29, 6 Ho 3.32-3.67, 2 Pr 3.57-3.58
Ho  0.7462  0.3596  0.2376  1 Mg 3.29, 6 Ho 3.32-3.67, 2 Pr 3.57-3.58
Ho  0.7624  0.2538  0.6404  1 Mg 3.29, 6 Ho 3.32-3.67, 2 Pr 3.57-3.58
Ho  0.8868  0.9997  0.3615  4 Ho 3.24-3.49, 2 Pr 3.26-3.51
Mg  0.5000  0.5000  0.5000  6 Ho 3.29

Calculated values
formation enthalpy at 0 K: 0.200 eV per atom
volume: 670 Å³/cell
total magnetization: 0.0000 μB per atom
symmetry: R-3 (148)
electronic total energy: -4.299 eV per atom
Fermi-level density of states: 1.538 states/eV per atom

---

Record 3
Density functional theory data (PBE-GGA) for a relaxed Dy2HoPaAs4 crystal.

a b c (Å): 7.0963 4.1101 7.1011
angles (deg): 90.00 109.48 90.00
Closest atoms and distances in Å follow each position.
Atoms (fractional coordinates):
Dy  0.0000  0.0000  0.0000  6 As 2.91-2.93
Dy  0.5000  0.5000  0.0000  6 As 2.90-2.91
Ho  0.0000  0.5000  0.5000  6 As 2.89-2.90
Pa  0.5000  0.0000  0.5000  6 As 2.87-2.89
As  0.2515  0.5000  0.2523  2 Pa 2.89, 1 Ho 2.89, 3 Dy 2.90-2.91
As  0.2515  0.0000  0.7468  1 Pa 2.87, 2 Ho 2.90, 3 Dy 2.91-2.93
As  0.7485  0.0000  0.2532  1 Pa 2.87, 2 Ho 2.90, 3 Dy 2.91-2.93
As  0.7485  0.5000  0.7477  2 Pa 2.89, 1 Ho 2.89, 3 Dy 2.90-2.91

Calculated values
formation enthalpy at 0 K: -1.416 eV per atom
volume: 195 Å³/cell
total magnetization: 0.0005 μB per atom
symmetry: P2/m (10)
electronic total energy: -6.651 eV per atom
Fermi-level density of states: 0.676 states/eV per atom

---

Record 4
Density functional theory data (PBE-GGA) for a relaxed Li2CaSb2 crystal.

a b c (Å): 4.3952 4.5429 12.0806
angles (deg): 90.00 90.00 90.00
Closest atoms and distances in Å follow each position.
Atoms (fractional coordinates):
Li  0.2500  0.2500  0.0024  4 Sb 2.81-2.84
Li  0.2500  0.7500  0.3590  5 Sb 2.61-2.81
Li  0.7500  0.2500  0.6410  5 Sb 2.61-2.81
Li  0.7500  0.7500  0.9976  4 Sb 2.81-2.84
Ca  0.2500  0.7500  0.7660  4 Sb 3.35, 8 Li 3.50-3.65
Ca  0.7500  0.2500  0.2340  4 Sb 3.35, 8 Li 3.50-3.65
Sb  0.2500  0.2500  0.4964  4 Li 2.81
Sb  0.2500  0.7500  0.1430  5 Li 2.61-2.84
Sb  0.7500  0.2500  0.8570  5 Li 2.61-2.84
Sb  0.7500  0.7500  0.5036  4 Li 2.81

Calculated values
volume: 241 Å³/cell
energy relative to the elements, uncorrected: -0.6805 eV per atom
total magnetization: 0.0000 μB per atom
symmetry: Pmmn (59)
electronic total energy: -3.495 eV per atom
Fermi-level density of states: 0.313 states/eV per atom
energy relative to the lowest polymorph listed for this composition: 0.0000 eV per atom

---

Record 5
Density functional theory data (PBE-GGA) for a relaxed SrLa crystal.

a b c (Å): 4.4635 4.4635 4.4635
angles (deg): 90.00 90.00 90.00
Closest atoms and distances in Å follow each position.
Atoms (fractional coordinates):
Sr  0.0000  0.0000  0.0000  8 La 3.87
La  0.5000  0.5000  0.5000  8 Sr 3.87

Calculated values
formation enthalpy at 0 K: 0.215 eV per atom
volume: 89 Å³/cell
total magnetization: 0.0002 μB per atom
symmetry: Pm-3m (221)
electronic total energy: -3.089 eV per atom
Fermi-level density of states: 1.743 states/eV per atom
energy relative to the lowest polymorph listed for this composition: 0.1539 eV per atom

---

Record 6
Density functional theory data (PBE-GGA) for a relaxed LaY2FeIr crystal.

a b c (Å): 5.5129 5.5129 4.8460
angles (deg): 90.00 90.00 90.00
Closest atoms and distances in Å follow each position.
Atoms (fractional coordinates):
La  0.0000  0.0000  0.0000  2 Ir 2.42
Y  0.0000  0.5000  0.0000  2 La 2.76
Y  0.5000  0.0000  0.0000  2 La 2.76
Fe  0.5000  0.5000  0.5000  8 Y 3.67, 4 Ir 3.90
Ir  0.0000  0.0000  0.5000  2 La 2.42

Calculated values
formation enthalpy at 0 K: 1.327 eV per atom
volume: 147 Å³/cell
total magnetization: 0.6372 μB per atom
symmetry: P4/mmm (123)
electronic total energy: -5.708 eV per atom
Fermi-level density of states: 1.645 states/eV per atom

---

Record 7
Density functional theory data (PBE-GGA) for a relaxed Pu2TlP crystal.

a b c (Å): 3.4451 3.4451 8.0503
angles (deg): 90.00 90.00 90.00
Closest atoms and distances in Å follow each position.
Atoms (fractional coordinates):
Pu  0.0000  0.0000  0.1957  4 P 2.90, 1 Pu 3.15
Pu  0.0000  0.0000  0.8043  4 P 2.90, 1 Pu 3.15
Tl  0.5000  0.5000  0.5000  4 Tl 3.45, 8 Pu 3.45
P  0.5000  0.5000  0.0000  8 Pu 2.90

Calculated values
formation enthalpy at 0 K: -0.533 eV per atom
volume: 96 Å³/cell
total magnetization: 2.7928 μB per atom
symmetry: P4/mmm (123)
electronic total energy: -9.643 eV per atom
Fermi-level density of states: 3.172 states/eV per atom
energy relative to the lowest polymorph listed for this composition: 0.0000 eV per atom

---

Record 8
Density functional theory data (PBE-GGA) for a relaxed Pr3CdC2N6 crystal.

a b c (Å): 5.4811 5.4811 6.5985
angles (deg): 90.00 90.00 120.00
Closest atoms and distances in Å follow each position.
Atoms (fractional coordinates):
Pr  0.0000  0.0000  0.0000  6 N 2.52
Pr  0.3333  0.6667  0.6633  1 C 2.62, 6 N 2.79
Pr  0.6667  0.3333  0.3367  1 C 2.62, 6 N 2.79
Cd  0.0000  0.0000  0.5000  6 N 2.36
C  0.3333  0.6667  0.2660  3 N 1.37
C  0.6667  0.3333  0.7340  3 N 1.37
N  0.1889  0.3779  0.2673  1 C 1.37
N  0.1889  0.8111  0.2673  1 C 1.37
N  0.3779  0.1889  0.7327  1 C 1.37
N  0.6221  0.8111  0.2673  1 C 1.37
N  0.8111  0.1889  0.7327  1 C 1.37
N  0.8111  0.6221  0.7327  1 C 1.37

Calculated values
volume: 172 Å³/cell
energy relative to the elements, uncorrected: -0.4711 eV per atom
total magnetization: 0.0000 μB per atom
symmetry: P-3m1 (164)
electronic total energy: -7.442 eV per atom
Fermi-level density of states: 0.182 states/eV per atom

---

Record 9
Density functional theory data (PBE-GGA) for a relaxed V6ReMo2 crystal.

a b c (Å): 5.0247 5.0247 6.1961
angles (deg): 102.21 102.21 60.59
Closest atoms and distances in Å follow each position.
Atoms (fractional coordinates):
V  0.2009  0.7186  0.8026  4 V 2.37-2.62, 1 Re 2.38
V  0.2629  0.2629  0.0876  6 V 2.52-2.75
V  0.2814  0.7991  0.1974  4 V 2.37-2.62, 1 Re 2.38
V  0.7186  0.2009  0.8026  4 V 2.37-2.62, 1 Re 2.38
V  0.7371  0.7371  0.9124  6 V 2.52-2.75
V  0.7991  0.2814  0.1974  4 V 2.37-2.62, 1 Re 2.38
Re  0.5000  0.5000  0.5000  4 V 2.38
Mo  0.1836  0.1836  0.5887  7 V 2.73-3.00, 3 Re 2.93-2.97
Mo  0.8164  0.8164  0.4113  7 V 2.73-3.00, 3 Re 2.93-2.97

Calculated values
formation enthalpy at 0 K: 0.181 eV per atom
volume: 132 Å³/cell
total magnetization: 0.0001 μB per atom
symmetry: C2/m (12)
electronic total energy: -9.688 eV per atom
Fermi-level density of states: 1.067 states/eV per atom
energy relative to the lowest polymorph listed for this composition: 0.2101 eV per atom

---

Record 10
Density functional theory data (PBE-GGA) for a relaxed Sr2Ag2Bi crystal.

a b c (Å): 9.7881 9.7881 9.7881
angles (deg): 155.95 155.95 34.27
Closest atoms and distances in Å follow each position.
Atoms (fractional coordinates):
Sr  0.1062  0.1062  0.0000  4 Ag 3.38, 4 Bi 3.50
Sr  0.8938  0.8938  0.0000  4 Ag 3.38, 4 Bi 3.50
Ag  0.2500  0.7500  0.5000  4 Ag 2.88
Ag  0.7500  0.2500  0.5000  4 Ag 2.88
Bi  0.5000  0.5000  0.0000  8 Sr 3.50

Calculated values
formation enthalpy at 0 K: -0.381 eV per atom
volume: 156 Å³/cell
total magnetization: 0.0000 μB per atom
symmetry: I4/mmm (139)
electronic total energy: -2.971 eV per atom
Fermi-level density of states: 0.216 states/eV per atom
energy relative to the lowest polymorph listed for this composition: 0.0660 eV per atom

---

Record 11
Density functional theory data (PBE-GGA) for a relaxed CrAsPS2 crystal.

a b c (Å): 4.3404 4.3404 4.8670
angles (deg): 90.00 90.00 90.00
Closest atoms and distances in Å follow each position.
Atoms (fractional coordinates):
Cr  0.0000  0.0000  0.0000  4 S 2.17
As  0.5000  0.5000  0.5000  4 P 3.07, 8 S 3.26
P  0.0000  0.0000  0.5000  2 Cr 2.43
S  0.0000  0.5000  0.0000  2 Cr 2.17
S  0.5000  0.0000  0.0000  2 Cr 2.17

Calculated values
volume: 92 Å³/cell
energy relative to the elements, uncorrected: 0.4580 eV per atom
total magnetization: 0.2748 μB per atom
symmetry: P4/mmm (123)
electronic total energy: -5.130 eV per atom
Fermi-level density of states: 0.946 states/eV per atom
energy relative to the lowest polymorph listed for this composition: 0.0000 eV per atom

---

Record 12
Density functional theory data (PBE-GGA) for a relaxed Re2PtCl crystal.

a b c (Å): 5.3485 5.3485 2.7670
angles (deg): 100.64 100.64 120.65
Closest atoms and distances in Å follow each position.
Atoms (fractional coordinates):
Re  0.0000  0.5000  0.0000  4 Re 2.65-2.77, 2 Cl 2.77, 2 Pt 2.77
Re  0.5000  0.0000  0.0000  4 Re 2.65-2.77, 2 Cl 2.77, 2 Pt 2.77
Pt  0.0000  0.0000  0.5000  2 Cl 2.65, 2 Pt 2.77, 4 Re 2.77
Cl  0.5000  0.5000  0.5000  2 Pt 2.65, 2 Cl 2.77, 4 Re 2.77

Calculated values
volume: 63 Å³/cell
energy relative to the elements, uncorrected: 1.0717 eV per atom
total magnetization: 0.0000 μB per atom
symmetry: C2/m (12)
electronic total energy: -7.124 eV per atom
Fermi-level density of states: 1.169 states/eV per atom
energy relative to the lowest polymorph listed for this composition: 0.8370 eV per atom